1.
## NaSnSCl2 (PBE)

Data for NaSnSCl2 after structural relaxation.

a = 5.418 Å, b = 5.418 Å, c = 5.001 Å
α = 90.00°, β = 90.00°, γ = 90.00°
Space group P4/mmm (No. 123)
Unique sites:
Na (0.000, 0.000, 0.000) [1 per cell]
Sn (0.500, 0.500, 0.500) [1 per cell]
S (0.500, 0.500, 0.000) [1 per cell]
Cl (0.000, 0.500, 0.500) [2 per cell]

Formation energy without anion corrections   -0.837 eV/atom
DOS(E_F)   0.15 states/eV per atom
Excess energy over the best structure of this formula in the dataset   0 meV per atom

***

2.
## MnGaAgPt2 (PBE)

Data for MnGaAgPt2 after structural relaxation.

a = 4.939 Å, b = 4.939 Å, c = 4.504 Å
α = 90.00°, β = 90.00°, γ = 90.00°
Space group P4/mmm (No. 123)
Unique sites:
Mn (0.000, 0.000, 0.000) [1 per cell]
Ga (0.500, 0.500, 0.000) [1 per cell]
Ag (0.500, 0.500, 0.500) [1 per cell]
Pt (0.000, 0.500, 0.500) [2 per cell]

Formation energy   7.92 eV/f.u.
DOS(E_F)   2.27 states/eV per atom

***

3.
## Co4Ir (PBE)

Data for Co4Ir after structural relaxation.

a = 3.439 Å, b = 3.439 Å, c = 10.630 Å
α = 90.00°, β = 90.00°, γ = 90.00°
Space group I4/mmm (No. 139)
Unique sites:
Co (0.000, 0.000, 0.103) [4 per cell]
Co (0.000, 0.500, 0.250) [4 per cell]
Ir (0.000, 0.000, 0.500) [2 per cell]

Formation energy   2.30 eV/f.u.
DOS(E_F)   1.00 states/eV per atom
Excess energy over the best structure of this formula in the dataset   419 meV per atom

***

4.
## ZrBRu3 (PBE)

Data for ZrBRu3 after structural relaxation.

a = 7.825 Å, b = 4.813 Å, c = 9.203 Å
α = 90.00°, β = 124.16°, γ = 90.00°
Space group P2_1/c (No. 14)
Unique sites:
Zr (0.133, 0.227, 0.035) [4 per cell]
B (0.370, 0.682, 0.569) [4 per cell]
Ru (0.127, 0.607, 0.832) [4 per cell]
Ru (0.316, 0.092, 0.862) [4 per cell]
Ru (0.483, 0.583, 0.833) [4 per cell]

Formation energy   -0.44 eV/f.u.
DOS(E_F)   0.95 states/eV per atom

***

5.
## Hf4Te (PBE)

Data for Hf4Te after structural relaxation.

a = 5.159 Å, b = 5.159 Å, c = 5.159 Å
α = 90.00°, β = 90.00°, γ = 90.00°
Space group Pm-3m (No. 221)
Unique sites:
Hf (0.000, 0.000, 0.000) [1 per cell]
Hf (0.000, 0.500, 0.500) [3 per cell]
Te (0.500, 0.500, 0.500) [1 per cell]

Formation energy without anion corrections   0.803 eV/atom
DOS(E_F)   0.87 states/eV per atom
Excess energy over the best structure of this formula in the dataset   971 meV per atom

***

6.
## Pm11In9Ru4 (PBE)

Data for Pm11In9Ru4 after structural relaxation.

a = 14.729 Å, b = 21.989 Å, c = 3.845 Å
α = 90.00°, β = 90.00°, γ = 90.00°
Space group Cmmm (No. 65)
Unique sites:
Pm (0.000, 0.000, 0.000) [2 per cell]
Pm (0.000, 0.162, 0.000) [4 per cell]
Pm (0.000, 0.374, 0.000) [4 per cell]
Pm (0.187, 0.500, 0.000) [4 per cell]
Pm (0.250, 0.168, 0.000) [8 per cell]
In (0.000, 0.500, 0.500) [2 per cell]
In (0.104, 0.263, 0.500) [8 per cell]
In (0.149, 0.071, 0.500) [8 per cell]
Ru (0.149, 0.400, 0.500) [8 per cell]

Formation energy   -10.72 eV/f.u.
DOS(E_F)   0.89 states/eV per atom

***

The lowest DOS(E_F) belongs to which entry? NaSnSCl2